Density functional theory data (PBE+U) for a relaxed Co2AsAuF crystal.

Geometry as CIF:
```
data_Co2AsAuF
_chemical_formula_sum 'Co2 As1 Au1 F1'
_cell_length_a 4.9562
_cell_length_b 4.9562
_cell_length_c 4.1404
_cell_angle_alpha 90.00
_cell_angle_beta 90.00
_cell_angle_gamma 90.00
_space_group_name_H-M_alt 'P 4/m m m'
_space_group_IT_number 123
_space_group_name_Hall '-P 4 2'
loop_
_atom_site_label
_atom_site_type_symbol
_atom_site_fract_x
_atom_site_fract_y
_atom_site_fract_z
Co1 Co 0.0000 0.5000 0.0000
As1 As 0.0000 0.0000 0.5000
Au1 Au 0.5000 0.5000 0.0000
F1 F 0.5000 0.5000 0.5000
```

- calculated density (kg/m³) = 6674
- electronic total energy (eV per atom) = -3.252
- calculated volume (Å³ per cell) = 101.7